SbSeF3 | PBE-GGA | optimized geometry

Results
* calculated total energy: -3.90 eV/atom
* E above lowest polymorph: 531.9 meV per atom
* uncorrected formation energy: -1256 meV per atom
* D(E_F): 3.4 states/eV per cell
* total magnetic moment: 2.00 Bohr magnetons per cell
* symmetry: No. 221

```
SbSeF3
1.0
4.516 0.000 0.000
0.000 4.516 0.000
0.000 0.000 4.516
Sb Se F
1 1 3
Cartesian
0.000 0.000 0.000
2.258 2.258 2.258
0.000 0.000 2.258
0.000 2.258 0.000
2.258 0.000 0.000
```